No. 1
P2SeS2, optimized geometry, DFT PBE-GGA; space-group type = I4_1md (109); formation energy without anion corrections = 1 meV/atom; ΔE to the lowest computed polymorph = 0.00 kcal/mol of atoms; total energy = -45.11 eV for the cell shown
1.0
-3.095 3.095 8.648
3.095 -3.095 8.648
3.095 3.095 -8.648
P Se S
4 2 4
direct
0.242 0.000 0.242
0.750 0.008 0.258
0.750 0.492 0.742
0.758 0.000 0.758
0.400 0.900 0.500
0.650 0.650 0.000
0.486 0.227 0.259
0.969 0.227 0.741
0.977 0.219 0.241
0.977 0.736 0.759

No. 2
P3SeS, optimized geometry, DFT PBE-GGA; space-group type = Pm-3m (221); formation energy without anion corrections = 1073 meV/atom; ΔE to the lowest computed polymorph = 0.00 kcal/mol of atoms; total energy = -18.48 eV for the cell shown
1.0
4.554 0.000 0.000
0.000 4.554 0.000
0.000 0.000 4.554
P Se S
3 1 1
direct
0.000 0.000 0.500
0.000 0.500 0.000
0.500 0.000 0.000
0.500 0.500 0.500
0.000 0.000 0.000

No. 3
PSeS, optimized geometry, DFT PBE-GGA; space-group type = P-1 (2); formation energy without anion corrections = -12 meV/atom; ΔE to the lowest computed polymorph = 0.00 kcal/mol of atoms; total energy = -26.12 eV for the cell shown
1.0
3.009 0.000 0.000
-0.011 7.951 0.000
-0.001 -3.940 7.264
P Se S
2 2 2
direct
0.250 0.107 0.136
0.750 0.893 0.864
0.251 0.381 0.124
0.749 0.619 0.876
0.250 0.882 0.677
0.750 0.118 0.323

No. 4
PSeS, optimized geometry, DFT PBE-GGA; space-group type = P-1 (2); formation energy without anion corrections = -4 meV/atom; ΔE to the lowest computed polymorph = 0.19 kcal/mol of atoms; total energy = -26.07 eV for the cell shown
1.0
4.260 0.000 0.000
2.123 6.341 0.000
2.124 2.613 5.871
P Se S
2 2 2
direct
0.137 0.361 0.364
0.863 0.639 0.636
0.264 0.737 0.735
0.736 0.263 0.265
0.001 0.276 0.721
0.999 0.724 0.279

No. 5
PSeS3, optimized geometry, DFT PBE-GGA; space-group type = Pm-3m (221); formation energy without anion corrections = 1136 meV/atom; ΔE to the lowest computed polymorph = 23.09 kcal/mol of atoms; total energy = -15.60 eV for the cell shown
1.0
4.725 0.000 0.000
0.000 4.725 0.000
0.000 0.000 4.725
P Se S
1 1 3
direct
0.000 0.000 0.000
0.500 0.500 0.500
0.000 0.500 0.500
0.500 0.000 0.500
0.500 0.500 0.000

No. 6
SiPSe2S, optimized geometry, DFT PBE-GGA; space-group type = P4/mmm (123); formation energy without anion corrections = 872 meV/atom; total energy = -17.57 eV for the cell shown
1.0
4.809 0.000 0.000
0.000 4.809 0.000
0.000 0.000 4.605
Si P Se S
1 1 2 1
direct
0.000 0.000 0.000
0.500 0.500 0.000
0.000 0.500 0.500
0.500 0.000 0.500
0.500 0.500 0.500

No. 7
Sm8P3SeS4, optimized geometry, DFT PBE-GGA; space-group type = R-3m (166); formation energy without anion corrections = -1885 meV/atom; total energy = -104.13 eV for the cell shown
1.0
4.078 2.354 6.628
-4.078 2.354 6.628
0.000 -4.708 6.628
Sm P Se S
8 3 1 4
direct
0.238 0.755 0.755
0.245 0.245 0.762
0.245 0.762 0.245
0.247 0.247 0.247
0.753 0.753 0.753
0.755 0.238 0.755
0.755 0.755 0.238
0.762 0.245 0.245
0.000 0.000 0.500
0.000 0.500 0.000
0.500 0.000 0.000
0.500 0.500 0.500
0.000 0.000 0.000
0.000 0.500 0.500
0.500 0.000 0.500
0.500 0.500 0.000

No. 8
Sm6P3Se2S, optimized geometry, DFT PBE-GGA; space-group type = C2/m (12); formation energy without anion corrections = -1809 meV/atom; total energy = -77.35 eV for the cell shown
1.0
9.009 -2.051 0.000
9.009 2.051 0.000
-2.009 0.000 8.025
Sm P Se S
6 3 2 1
direct
0.004 0.004 0.247
0.332 0.332 0.428
0.338 0.338 0.905
0.662 0.662 0.095
0.668 0.668 0.572
0.996 0.996 0.753
0.167 0.167 0.334
0.500 0.500 0.000
0.833 0.833 0.666
0.166 0.166 0.834
0.834 0.834 0.166
0.500 0.500 0.500

No. 9
Sm6PSe3S2, optimized geometry, DFT PBE-GGA; space-group type = C2/m (12); formation energy without anion corrections = -1894 meV/atom; total energy = -75.16 eV for the cell shown
1.0
3.535 -6.126 0.000
3.535 6.126 0.000
-2.354 0.000 6.815
Sm P Se S
6 1 3 2
direct
0.076 0.405 0.228
0.253 0.253 0.773
0.405 0.076 0.228
0.595 0.924 0.772
0.747 0.747 0.227
0.924 0.595 0.772
0.000 0.000 0.000
0.167 0.833 0.500
0.500 0.500 0.500
0.833 0.167 0.500
0.333 0.667 0.000
0.667 0.333 0.000

No. 10
Sm3PSeS, optimized geometry, DFT PBE-GGA; space-group type = P2_1/m (11); formation energy without anion corrections = -1590 meV/atom; total energy = -73.44 eV for the cell shown
1.0
8.232 0.000 0.000
0.000 4.113 0.000
-3.642 0.000 11.319
Sm P Se S
6 2 2 2
direct
0.035 0.250 0.373
0.176 0.750 0.119
0.303 0.250 0.870
0.697 0.750 0.130
0.824 0.250 0.881
0.965 0.750 0.627
0.063 0.750 0.874
0.937 0.250 0.126
0.439 0.250 0.138
0.561 0.750 0.862
0.179 0.250 0.617
0.821 0.750 0.383

No. 11
Sm6PSe2S3, optimized geometry, DFT PBE-GGA; space-group type = C2/m (12); formation energy without anion corrections = -1913 meV/atom; total energy = -76.03 eV for the cell shown
1.0
8.894 -2.030 0.000
8.894 2.030 0.000
-1.859 0.000 7.999
Sm P Se S
6 1 2 3
direct
0.003 0.003 0.258
0.337 0.337 0.431
0.340 0.340 0.904
0.660 0.660 0.096
0.663 0.663 0.569
0.997 0.997 0.742
0.500 0.500 0.500
0.168 0.168 0.837
0.832 0.832 0.163
0.169 0.169 0.335
0.500 0.500 0.000
0.831 0.831 0.665

No. 12
SnPSeS2, optimized geometry, DFT PBE-GGA; space-group type = P4/mmm (123); formation energy without anion corrections = 536 meV/atom; ΔE to the lowest computed polymorph = 0.00 kcal/mol of atoms; total energy = -18.47 eV for the cell shown
1.0
4.841 0.000 0.000
0.000 4.841 0.000
0.000 0.000 4.810
Sn P Se S
1 1 1 2
direct
0.000 0.000 0.000
0.500 0.500 0.000
0.500 0.500 0.500
0.000 0.500 0.500
0.500 0.000 0.500

No. 13
SrP2SeS, optimized geometry, DFT PBE-GGA; space-group type = P4/mmm (123); formation energy without anion corrections = 50 meV/atom; ΔE to the lowest computed polymorph = 0.00 kcal/mol of atoms; total energy = -19.86 eV for the cell shown
1.0
4.857 0.000 0.000
0.000 4.857 0.000
0.000 0.000 5.026
Sr P Se S
1 2 1 1
direct
0.000 0.000 0.000
0.000 0.500 0.500
0.500 0.000 0.500
0.500 0.500 0.500
0.500 0.500 0.000

No. 14
SrP2SeS8, optimized geometry, DFT PBE-GGA; space-group type = R-3 (148); formation energy without anion corrections = -318 meV/atom; total energy = -52.82 eV for the cell shown
1.0
2.957 1.707 8.837
-2.957 1.707 8.837
0.000 -3.414 8.837
Sr P Se S
1 2 1 8
direct
0.000 0.000 0.000
0.248 0.248 0.248
0.752 0.752 0.752
0.500 0.500 0.500
0.099 0.428 0.796
0.204 0.901 0.572
0.324 0.324 0.324
0.428 0.796 0.099
0.572 0.204 0.901
0.676 0.676 0.676
0.796 0.099 0.428
0.901 0.572 0.204

No. 15
SrP2SeS, optimized geometry, DFT PBE-GGA; space-group type = P4/mmm (123); formation energy without anion corrections = 1280 meV/atom; ΔE to the lowest computed polymorph = 28.35 kcal/mol of atoms; total energy = -13.72 eV for the cell shown
1.0
5.655 0.000 0.000
0.000 5.655 0.000
0.000 0.000 5.379
Sr P Se S
1 2 1 1
direct
0.000 0.000 0.000
0.000 0.500 0.000
0.500 0.000 0.000
0.500 0.500 0.500
0.000 0.000 0.500

No. 16
TaPSeS2, optimized geometry, DFT PBE-GGA; space-group type = P4/mmm (123); formation energy without anion corrections = 1112 meV/atom; ΔE to the lowest computed polymorph = 20.74 kcal/mol of atoms; total energy = -23.44 eV for the cell shown
1.0
4.568 0.000 0.000
0.000 4.568 0.000
0.000 0.000 4.712
Ta P Se S
1 1 1 2
direct
0.000 0.000 0.000
0.500 0.500 0.000
0.500 0.500 0.500
0.000 0.500 0.500
0.500 0.000 0.500

No. 17
TaPSeS2, optimized geometry, DFT PBE-GGA; space-group type = P4/mmm (123); formation energy without anion corrections = 212 meV/atom; ΔE to the lowest computed polymorph = 0.00 kcal/mol of atoms; total energy = -27.94 eV for the cell shown
1.0
4.657 0.000 0.000
0.000 4.657 0.000
0.000 0.000 5.173
Ta P Se S
1 1 1 2
direct
0.000 0.000 0.000
0.000 0.000 0.500
0.500 0.500 0.500
0.000 0.500 0.000
0.500 0.000 0.000

No. 18
TaPSe2S, optimized geometry, DFT PBE-GGA; space-group type = P4/mmm (123); formation energy without anion corrections = 322 meV/atom; total energy = -26.75 eV for the cell shown
1.0
5.119 0.000 0.000
0.000 5.119 0.000
0.000 0.000 4.653
Ta P Se S
1 1 2 1
direct
0.000 0.000 0.000
0.500 0.500 0.500
0.000 0.500 0.000
0.500 0.000 0.000
0.000 0.000 0.500

No. 19
Tb6P3Se2S, optimized geometry, DFT PBE-GGA; space-group type = C2/m (12); formation energy without anion corrections = -1817 meV/atom; total energy = -76.92 eV for the cell shown
1.0
8.834 -2.012 0.000
8.834 2.012 0.000
-1.966 0.000 7.872
Tb P Se S
6 3 2 1
direct
0.005 0.005 0.246
0.332 0.332 0.429
0.338 0.338 0.904
0.662 0.662 0.096
0.668 0.668 0.571
0.995 0.995 0.754
0.167 0.167 0.334
0.500 0.500 0.000
0.833 0.833 0.666
0.166 0.166 0.834
0.834 0.834 0.166
0.500 0.500 0.500

No. 20
Tb8P3Se4S, optimized geometry, DFT PBE-GGA; space-group type = R-3m (166); formation energy without anion corrections = -1828 meV/atom; total energy = -100.59 eV for the cell shown
1.0
4.026 2.325 6.713
-4.026 2.325 6.713
0.000 -4.649 6.713
Tb P Se S
8 3 4 1
direct
0.239 0.745 0.745
0.243 0.243 0.243
0.255 0.255 0.761
0.255 0.761 0.255
0.745 0.239 0.745
0.745 0.745 0.239
0.757 0.757 0.757
0.761 0.255 0.255
0.000 0.000 0.500
0.000 0.500 0.000
0.500 0.000 0.000
0.000 0.000 0.000
0.000 0.500 0.500
0.500 0.000 0.500
0.500 0.500 0.000
0.500 0.500 0.500

No. 21
Tb6P2Se3S, optimized geometry, DFT PBE-GGA; space-group type = C2/m (12); formation energy without anion corrections = -1838 meV/atom; total energy = -75.24 eV for the cell shown
1.0
8.876 -2.012 0.000
8.876 2.012 0.000
-2.031 0.000 7.892
Tb P Se S
6 2 3 1
direct
0.006 0.006 0.241
0.328 0.328 0.429
0.336 0.336 0.902
0.664 0.664 0.098
0.672 0.672 0.571
0.994 0.994 0.759
0.166 0.166 0.332
0.834 0.834 0.668
0.165 0.165 0.833
0.500 0.500 0.500
0.835 0.835 0.167
0.500 0.500 0.000

No. 22
Tb4P2SeS, optimized geometry, DFT PBE-GGA; space-group type = I-4m2 (119); formation energy without anion corrections = -1825 meV/atom; total energy = -103.11 eV for the cell shown
1.0
5.681 0.000 0.000
0.000 5.681 0.000
0.000 0.000 11.409
Tb P Se S
8 4 2 2
direct
0.000 0.000 0.241
0.000 0.000 0.759
0.000 0.500 0.505
0.000 0.500 0.995
0.500 0.000 0.005
0.500 0.000 0.495
0.500 0.500 0.259
0.500 0.500 0.741
0.000 0.000 0.000
0.000 0.500 0.750
0.500 0.000 0.250
0.500 0.500 0.500
0.000 0.000 0.500
0.500 0.500 0.000
0.000 0.500 0.250
0.500 0.000 0.750

No. 23
Tb6PSe2S3, optimized geometry, DFT PBE-GGA; space-group type = C2/m (12); formation energy without anion corrections = -1901 meV/atom; total energy = -75.35 eV for the cell shown
1.0
8.720 -1.990 0.000
8.720 1.990 0.000
-1.825 0.000 7.838
Tb P Se S
6 1 2 3
direct
0.004 0.004 0.258
0.337 0.337 0.432
0.340 0.340 0.902
0.660 0.660 0.098
0.663 0.663 0.568
0.996 0.996 0.742
0.500 0.500 0.500
0.168 0.168 0.837
0.832 0.832 0.163
0.169 0.169 0.336
0.500 0.500 0.000
0.831 0.831 0.664